No. 1
A relaxed structure of Ac5Os2Br2, computed with PBE-GGA.

Calculated values
SG: No. 64
Formation energy from raw total energies, eV per atom: -0.5843
Fermi-level density of states, states/eV per atom: 0.7156
VASP energy, eV per atom: -5.734
Calculated volume, Å³/atom: 33.9

extended XYZ file:
```
18
Lattice="8.471 0.000 0.000 0.000 7.609 -3.835 0.000 0.008 9.471" Properties=species:S:1:pos:R:3 pbc="T T T"
Ac 2.926 5.579 4.570
Ac 1.309 1.775 6.487
Ac 7.162 5.842 -0.851
Ac 5.544 2.037 1.066
Ac 1.307 3.451 0.353
Ac 7.163 4.166 5.283
Ac 0.000 0.000 0.000
Ac 2.928 7.255 -1.564
Ac 5.543 0.361 7.200
Ac 4.235 3.804 -1.918
Os 1.198 4.869 -2.453
Os 7.272 2.748 8.089
Os 5.434 6.552 6.172
Os 3.037 1.065 -0.536
Br 0.003 6.040 2.506
Br 8.468 1.577 3.130
Br 4.238 5.381 1.212
Br 4.233 2.235 4.424
```

***

No. 2
A relaxed structure of Ac9Os2Br14, computed with PBE-GGA.

Calculated values
SG: No. 147
Formation energy from raw total energies, eV per atom: -1.3710
Fermi-level density of states, states/eV per atom: 0.7526
VASP energy, eV per atom: -4.685
Calculated volume, Å³/atom: 36.6

extended XYZ file:
```
25
Lattice="-3.466 8.486 -0.420 -0.799 -5.644 -7.191 -10.905 -4.230 4.531" Properties=species:S:1:pos:R:3 pbc="T T T"
Ac -4.460 -2.728 -1.042
Ac -12.873 -0.218 1.601
Ac 0.000 0.000 0.000
Ac -10.710 1.340 -2.038
Ac -6.642 -0.210 -3.943
Ac -2.297 -1.170 -4.681
Ac -9.678 2.948 1.946
Ac -8.528 -1.178 0.863
Ac -5.492 -4.336 -5.026
Br -6.029 0.086 -0.700
Br -11.285 -3.212 1.451
Br -7.895 2.703 -2.748
Br -2.239 2.377 -0.053
Br -9.141 -1.475 -2.380
Br -4.543 5.988 -2.228
Br -7.275 -4.092 -0.332
Br -10.627 -7.376 -0.852
Br -3.885 1.824 -4.531
Br -2.700 -1.047 1.122
Br -6.741 3.521 0.791
Br -8.205 -3.183 3.409
Br -8.429 -4.909 -3.871
Br -12.931 -3.766 -3.028
Os -4.664 -2.088 -3.698
Os -10.506 0.700 0.617
```

***

No. 3
A relaxed structure of Ac3OsBr, computed with PBE-GGA.

Calculated values
SG: No. 59
Formation energy from raw total energies, eV per atom: -0.4898
Fermi-level density of states, states/eV per atom: 0.7795
VASP energy, eV per atom: -5.535
Calculated volume, Å³/atom: 35.0

extended XYZ file:
```
10
Lattice="4.413 0.000 0.000 0.000 7.787 0.000 0.000 0.000 10.196" Properties=species:S:1:pos:R:3 pbc="T T T"
Ac 1.103 5.840 4.218
Ac 3.309 1.947 5.979
Ac 1.103 0.009 8.662
Ac 1.103 3.884 8.662
Ac 3.309 7.777 1.534
Ac 3.309 3.903 1.534
Os 1.103 5.840 1.082
Os 3.309 1.947 9.115
Br 3.309 5.840 6.802
Br 1.103 1.947 3.395
```

***

No. 4
A relaxed structure of Ac8P3OsBr4, computed with PBE-GGA.

Calculated values
SG: No. 166
Formation energy from raw total energies, eV per atom: -1.2524
Fermi-level density of states, states/eV per atom: 0.7415
VASP energy, eV per atom: -5.441
Calculated volume, Å³/atom: 32.9

extended XYZ file:
```
16
Lattice="-0.765 -7.773 -4.248 4.542 -4.198 6.862 -7.269 4.736 1.949" Properties=species:S:1:pos:R:3 pbc="T T T"
Br -3.635 2.368 0.974
Br -4.017 -1.519 -1.150
Br 0.000 0.000 0.000
Br -0.383 -3.886 -2.124
Ac -0.311 -2.574 4.765
Ac 0.573 -7.107 -1.209
Ac 0.968 -3.093 0.985
Ac -4.460 -4.142 3.577
Ac -2.712 -0.765 1.888
Ac -4.065 -0.128 5.771
Ac -3.181 -4.661 -0.203
Ac -0.780 -6.469 2.673
Os 2.271 -2.099 3.431
P 1.889 -5.985 1.307
P -1.746 -3.617 2.281
P -1.363 0.269 4.405
```

***

Question: What is the VASP energy in the fourth record?
Answer: -5.441 eV per atom

***

Repeat the second record exactly.
A relaxed structure of Ac9Os2Br14, computed with PBE-GGA.

Calculated values
SG: No. 147
Formation energy from raw total energies, eV per atom: -1.3710
Fermi-level density of states, states/eV per atom: 0.7526
VASP energy, eV per atom: -4.685
Calculated volume, Å³/atom: 36.6

extended XYZ file:
```
25
Lattice="-3.466 8.486 -0.420 -0.799 -5.644 -7.191 -10.905 -4.230 4.531" Properties=species:S:1:pos:R:3 pbc="T T T"
Ac -4.460 -2.728 -1.042
Ac -12.873 -0.218 1.601
Ac 0.000 0.000 0.000
Ac -10.710 1.340 -2.038
Ac -6.642 -0.210 -3.943
Ac -2.297 -1.170 -4.681
Ac -9.678 2.948 1.946
Ac -8.528 -1.178 0.863
Ac -5.492 -4.336 -5.026
Br -6.029 0.086 -0.700
Br -11.285 -3.212 1.451
Br -7.895 2.703 -2.748
Br -2.239 2.377 -0.053
Br -9.141 -1.475 -2.380
Br -4.543 5.988 -2.228
Br -7.275 -4.092 -0.332
Br -10.627 -7.376 -0.852
Br -3.885 1.824 -4.531
Br -2.700 -1.047 1.122
Br -6.741 3.521 0.791
Br -8.205 -3.183 3.409
Br -8.429 -4.909 -3.871
Br -12.931 -3.766 -3.028
Os -4.664 -2.088 -3.698
Os -10.506 0.700 0.617
```

***

Question: Which formula does entry 3 have?
Answer: Ac3OsBr